The following is a PBE calculation of a geometry-optimized CePmSm2Bi4 structure, from Alexandria via LeMat-Bulk.

CIF file:
```
data_CePmSm2Bi4
_cell_length_a 7.920
_cell_length_b 4.571
_cell_length_c 7.921
_cell_angle_alpha 90.00
_cell_angle_beta 109.39
_cell_angle_gamma 90.00
_space_group_name_H-M_alt 'P 1 2/m 1'
_space_group_IT_number 10
loop_
_space_group_symop_operation_xyz
'x,y,z'
'-x,-y,-z'
'-x,y,-z'
'x,-y,z'
loop_
_atom_site_label
_atom_site_type_symbol
_atom_site_fract_x
_atom_site_fract_y
_atom_site_fract_z
Ce1 Ce 0.000 0.000 0.000
Pm1 Pm 0.000 0.500 0.500
Sm1 Sm 0.500 0.000 0.500
Sm2 Sm 0.500 0.500 0.000
Bi1 Bi 0.251 0.000 0.751
Bi2 Bi 0.251 0.500 0.250
```

Values from the calculation:
The density of states at the Fermi level comes out at 0.988 states/eV per atom. The value obtained for the formation energy is -0.90 eV per atom. The final energy is -5.35 eV per atom. The calculation puts the density at 8.728 g cm⁻³.

***

The following is a PBE calculation of a geometry-optimized Pm3NbSi5 structure, from Alexandria via LeMat-Bulk.

CIF file:
```
data_Pm3NbSi5
_cell_length_a 8.7181
_cell_length_b 8.7181
_cell_length_c 5.7780
_cell_angle_alpha 90.00
_cell_angle_beta 90.00
_cell_angle_gamma 120.00
_space_group_name_H-M_alt 'P 63/m c m'
_space_group_IT_number 193
_space_group_name_Hall '-P 6c 2'
loop_
_atom_site_label
_atom_site_type_symbol
_atom_site_fract_x
_atom_site_fract_y
_atom_site_fract_z
Pm1 Pm 0.0000 0.3847 0.2500
Nb1 Nb 0.0000 0.0000 0.0000
Si1 Si 0.0000 0.2552 0.7500
Si2 Si 0.3333 0.6667 0.0000
```

Values from the calculation:
The density of states at the Fermi level comes out at 0.734 states/eV per atom. The final energy is -6.18 eV per atom. The calculation puts the uncorrected formation energy at -0.469 eV per atom. The calculation puts the density at 5.836 g cm⁻³.

***

The following is a PBE calculation of a geometry-optimized Ag4BrCl5 structure, from Alexandria via LeMat-Bulk.

CIF file:
```
data_Ag4BrCl5
_cell_length_a 7.826
_cell_length_b 10.723
_cell_length_c 6.448
_cell_angle_alpha 90.00
_cell_angle_beta 90.00
_cell_angle_gamma 90.00
_space_group_name_H-M_alt 'P m m n'
_space_group_IT_number 59
loop_
_space_group_symop_operation_xyz
'x,y,z'
'-x,-y,-z'
'-x+1/2,-y+1/2,z'
'x+1/2,y+1/2,-z'
'x+1/2,-y,-z'
'-x+1/2,y,z'
'-x,y+1/2,-z'
'x,-y+1/2,z'
loop_
_atom_site_label
_atom_site_type_symbol
_atom_site_fract_x
_atom_site_fract_y
_atom_site_fract_z
Ag1 Ag 0.007 0.250 0.000
Ag2 Ag 0.250 0.001 0.496
Br1 Br 0.250 0.750 0.742
Cl1 Cl 0.002 0.078 0.721
Cl2 Cl 0.250 0.250 0.252
```

Values from the calculation:
The density of states at the Fermi level comes out at 1.056 states/eV per atom. The final energy is -2.58 eV per atom. The calculation puts the uncorrected formation energy at -0.349 eV per atom. The calculation puts the density at 4.227 g cm⁻³.

***

The following is a PBE calculation of a geometry-optimized SrCo structure, from Alexandria via LeMat-Bulk.

CIF file:
```
data_SrCo
_cell_length_a 5.977
_cell_length_b 9.118
_cell_length_c 14.522
_cell_angle_alpha 90.00
_cell_angle_beta 90.00
_cell_angle_gamma 90.00
_space_group_name_H-M_alt 'F d d d'
_space_group_IT_number 70
loop_
_space_group_symop_operation_xyz
'x,y,z'
'-x,-y,-z'
'-x+1/4,-y+1/4,z'
'x+1/4,y+1/4,-z'
'x,-y+1/4,-z+1/4'
'-x,y+1/4,z+1/4'
'-x+1/4,y,-z+1/4'
'x+1/4,-y,z+1/4'
'x,y+1/2,z+1/2'
'-x,-y+1/2,-z+1/2'
'-x+1/4,-y+3/4,z+1/2'
'x+1/4,y+3/4,-z+1/2'
'x,-y+3/4,-z+3/4'
'-x,y+3/4,z+3/4'
'-x+1/4,y+1/2,-z+3/4'
'x+1/4,-y+1/2,z+3/4'
'x+1/2,y,z+1/2'
'-x+1/2,-y,-z+1/2'
'-x+3/4,-y+1/4,z+1/2'
'x+3/4,y+1/4,-z+1/2'
'x+1/2,-y+1/4,-z+3/4'
'-x+1/2,y+1/4,z+3/4'
'-x+3/4,y,-z+3/4'
'x+3/4,-y,z+3/4'
'x+1/2,y+1/2,z'
'-x+1/2,-y+1/2,-z'
'-x+3/4,-y+3/4,z'
'x+3/4,y+3/4,-z'
'x+1/2,-y+3/4,-z+1/4'
'-x+1/2,y+3/4,z+1/4'
'-x+3/4,y+1/2,-z+1/4'
'x+3/4,-y+1/2,z+1/4'
loop_
_atom_site_label
_atom_site_type_symbol
_atom_site_fract_x
_atom_site_fract_y
_atom_site_fract_z
Sr1 Sr 0.125 0.299 0.125
Co1 Co 0.125 0.125 0.549
```

Values from the calculation:
The density of states at the Fermi level comes out at 1.180 states/eV per atom. The value obtained for the formation energy is 0.55 eV per atom. The final energy is -3.84 eV per atom. The calculation puts the density at 4.920 g cm⁻³.

***

The following is a PBE calculation of a geometry-optimized TaZnCu structure, from Alexandria via LeMat-Bulk.

CIF file:
```
data_TaZnCu
_cell_length_a 2.7967
_cell_length_b 2.7967
_cell_length_c 6.7918
_cell_angle_alpha 90.00
_cell_angle_beta 90.00
_cell_angle_gamma 120.00
_space_group_name_H-M_alt 'P 3 m 1'
_space_group_IT_number 156
loop_
_space_group_symop_operation_xyz
'x,y,z'
'-y,x-y,z'
'-x+y,-x,z'
'-y,-x,z'
'-x+y,y,z'
'x,x-y,z'
loop_
_atom_site_label
_atom_site_type_symbol
_atom_site_fract_x
_atom_site_fract_y
_atom_site_fract_z
Ta1 Ta 0.0000 0.0000 0.0000
Zn1 Zn 0.3333 0.6667 0.3588
Cu1 Cu 0.6667 0.3333 0.6644
```

Values from the calculation:
The density of states at the Fermi level comes out at 0.650 states/eV per atom. The value obtained for the formation energy is 0.15 eV per atom. The final energy is -5.59 eV per atom. The calculation puts the density at 11.185 g cm⁻³.

***

The following is a PBE calculation of a geometry-optimized Tl2Cd5Bi3 structure, from Alexandria via LeMat-Bulk.

CIF file:
```
data_Tl2Cd5Bi3
_cell_length_a 5.105
_cell_length_b 28.381
_cell_length_c 8.306
_cell_angle_alpha 90.00
_cell_angle_beta 90.00
_cell_angle_gamma 90.00
_space_group_name_H-M_alt 'C m c 21'
_space_group_IT_number 36
loop_
_space_group_symop_operation_xyz
'x,y,z'
'-x,-y,z+1/2'
'-x,y,z'
'x,-y,z+1/2'
'x+1/2,y+1/2,z'
'-x+1/2,-y+1/2,z+1/2'
'-x+1/2,y+1/2,z'
'x+1/2,-y+1/2,z+1/2'
loop_
_atom_site_label
_atom_site_type_symbol
_atom_site_fract_x
_atom_site_fract_y
_atom_site_fract_z
Tl1 Tl 0.000 0.014 0.000
Tl2 Tl 0.000 0.324 0.007
Cd1 Cd 0.000 0.106 0.354
Cd2 Cd 0.000 0.200 0.222
Cd3 Cd 0.000 0.217 0.780
Cd4 Cd 0.000 0.389 0.482
Cd5 Cd 0.000 0.448 0.160
Bi1 Bi 0.000 0.109 0.741
Bi2 Bi 0.000 0.282 0.494
Bi3 Bi 0.000 0.450 0.777
```

Values from the calculation:
The density of states at the Fermi level comes out at 0.276 states/eV per atom. The value obtained for the formation energy is 0.01 eV per atom. The final energy is -2.09 eV per atom. The calculation puts the density at 8.819 g cm⁻³.

***

> Look up the final energy of the sixth one.

-2.09 eV per atom